## NbCdRh (PBE-GGA)

Data for a geometry-optimized NbCdRh structure.

**D(E_F)**: 10.99 states/eV/cell
**Density**: 9.75 g cm⁻³
**Total energy**: -0.2282 hartree per atom
**Energy of formation from the pure elements**: -0.0983 eV per atom

Structure (POSCAR):
```
NbCdRh
1.0
-0.8789 0.0963 3.9318
-4.6984 -11.4087 -0.7707
3.7894 -1.6205 0.8867
Nb Cd Rh
4 4 4
Direct
0.5000 0.4291 0.7500 Nb
0.0000 0.0709 0.2500 Nb
0.0000 0.9291 0.7500 Nb
0.5000 0.5709 0.2500 Nb
0.5000 0.7475 0.7500 Cd
0.0000 0.2475 0.7500 Cd
0.5000 0.2525 0.2500 Cd
0.0000 0.7525 0.2500 Cd
0.5000 0.0749 0.7500 Rh
0.0000 0.4251 0.2500 Rh
0.0000 0.5749 0.7500 Rh
0.5000 0.9251 0.2500 Rh
```